# 1
# Ac4Ga3Hg

Crystalline Ac4Ga3Hg at its relaxed geometry (PBE, Alexandria via LeMat-Bulk).

energy relative to the elements = -0.4716 eV per atom

a = 4.4634 Å, b = 4.7857 Å, c = 11.9258 Å
α = 90.00°, β = 90.00°, γ = 90.00°
Element x y z (fractional)
Ac (0.0000, 0.0000, 0.0000)
Ac (0.0000, 0.5000, 0.4877)
Ac (0.5000, 0.0000, 0.7099)
Ac (0.5000, 0.5000, 0.2137)
Ga (0.0000, 0.0000, 0.2871)
Ga (0.5000, 0.0000, 0.4194)
Ga (0.5000, 0.5000, 0.9305)
Hg (0.0000, 0.5000, 0.7810)

***

# 2
# YMg8Pt2

Crystalline YMg8Pt2 at its relaxed geometry (PBE, Alexandria via LeMat-Bulk).

energy relative to the elements = -0.3325 eV per atom

a = 7.3171 Å, b = 7.3171 Å, c = 5.1970 Å
α = 97.50°, β = 97.50°, γ = 111.80°
Element x y z (fractional)
Y (0.0000, 0.0000, 0.0000)
Mg (0.0689, 0.3290, 0.5763)
Mg (0.2680, 0.7320, 0.0000)
Mg (0.3290, 0.0689, 0.5763)
Mg (0.4082, 0.4082, 0.2232)
Mg (0.5918, 0.5918, 0.7768)
Mg (0.6710, 0.9311, 0.4237)
Mg (0.7320, 0.2680, 0.0000)
Mg (0.9311, 0.6710, 0.4237)
Pt (0.3095, 0.6905, 0.5000)
Pt (0.6905, 0.3095, 0.5000)

***

# 3
# CaNd5S8

Crystalline CaNd5S8 at its relaxed geometry (PBE, Alexandria via LeMat-Bulk).

a = 7.4342 Å, b = 7.4342 Å, c = 7.4342 Å
α = 109.57°, β = 109.57°, γ = 109.27°
Element x y z (fractional)
Ca (0.0000, 0.0000, 0.0000)
Nd (0.1214, 0.4975, 0.8763)
Nd (0.2500, 0.7500, 0.5000)
Nd (0.5025, 0.3788, 0.6239)
Nd (0.6212, 0.2450, 0.1237)
Nd (0.7550, 0.8786, 0.3761)
S (0.0234, 0.2736, 0.3936)
S (0.2310, 0.1291, 0.7472)
S (0.3702, 0.9766, 0.2502)
S (0.3820, 0.4838, 0.2528)
S (0.5162, 0.7690, 0.8982)
S (0.7264, 0.1200, 0.7498)
S (0.8709, 0.6180, 0.1018)
S (0.8800, 0.6298, 0.6064)

***

# 4
# PaIn3Sn2Te6

Crystalline PaIn3Sn2Te6 at its relaxed geometry (PBE, Alexandria via LeMat-Bulk).

a = 7.8588 Å, b = 7.8588 Å, c = 8.2388 Å
α = 99.10°, β = 99.10°, γ = 119.76°
Element x y z (fractional)
Pa (0.0000, 0.0000, 0.0000)
In (0.1681, 0.8319, 0.5000)
In (0.5000, 0.5000, 0.5000)
In (0.8319, 0.1681, 0.5000)
Sn (0.3333, 0.6667, 0.0000)
Sn (0.6667, 0.3333, 0.0000)
Te (0.0731, 0.3890, 0.2209)
Te (0.2389, 0.2389, 0.7729)
Te (0.3890, 0.0731, 0.2209)
Te (0.6110, 0.9269, 0.7791)
Te (0.7611, 0.7611, 0.2271)
Te (0.9269, 0.6110, 0.7791)

***

# 5
# KLaIn2

Crystalline KLaIn2 at its relaxed geometry (PBE, Alexandria via LeMat-Bulk).

energy relative to the elements = -0.2475 eV per atom
relative energy among the computed polymorphs = 0.000 eV per atom

a = 4.0008 Å, b = 4.0008 Å, c = 8.6578 Å
α = 90.00°, β = 90.00°, γ = 90.00°
Element x y z (fractional)
K (0.0000, 0.0000, 0.0000)
La (0.0000, 0.0000, 0.5000)
In (0.5000, 0.5000, 0.2879)
In (0.5000, 0.5000, 0.7121)

***

# 6
# Th5Tc2Pd

Crystalline Th5Tc2Pd at its relaxed geometry (PBE, Alexandria via LeMat-Bulk).

energy relative to the elements = -0.3126 eV per atom

a = 8.6631 Å, b = 8.6631 Å, c = 8.6631 Å
α = 126.01°, β = 126.01°, γ = 79.88°
Element x y z (fractional)
Th (0.0000, 0.0000, 0.0000)
Th (0.0186, 0.5186, 0.8196)
Th (0.1990, 0.0186, 0.5000)
Th (0.3010, 0.8010, 0.8196)
Th (0.4814, 0.3010, 0.5000)
Th (0.5000, 0.5000, 0.0000)
Th (0.5186, 0.6990, 0.5000)
Th (0.6990, 0.1990, 0.1804)
Th (0.8010, 0.9814, 0.5000)
Th (0.9814, 0.4814, 0.1804)
Tc (0.1389, 0.3611, 0.5000)
Tc (0.3611, 0.8611, 0.2221)
Tc (0.6389, 0.1389, 0.7779)
Tc (0.8611, 0.6389, 0.5000)
Pd (0.2500, 0.2500, 0.0000)
Pd (0.7500, 0.7500, 0.0000)

***

no.,total magnetization (μB per cell),E_tot (eV per atom)
1,0.00,-3.699
2,0.00,-3.178
3,0.00,-6.253
4,0.13,-4.141
5,0.00,-3.123
6,0.00,-8.191